(1)
A relaxed structure of MgCr2S2. Source: Alexandria, functional PBEsol.

Cell: 4.3526 4.3526 7.6063 Å, 90.00 90.00 90.00°
Last column: nearest neighbours and their distance in Å.
Element x y z (fractional)
Mg 0.0000 0.0000 0.0000  2 Cr 2.82, 8 S 2.89
Mg 0.5000 0.5000 0.5000  2 Cr 2.82, 8 S 2.89
Cr 0.0000 0.0000 0.3706  1 Cr 1.97
Cr 0.0000 0.0000 0.6294  1 Cr 1.97
Cr 0.5000 0.5000 0.1294  1 Cr 1.97
Cr 0.5000 0.5000 0.8706  1 Cr 1.97
S 0.0000 0.5000 0.2500  4 Cr 2.36
S 0.0000 0.5000 0.7500  4 Cr 2.36
S 0.5000 0.0000 0.2500  4 Cr 2.36
S 0.5000 0.0000 0.7500  4 Cr 2.36

Properties
Energy relative to the elements, uncorrected ... -0.220 eV/atom
ρ ... 4.43 g cm⁻³



(2)
A relaxed structure of MgCr3S. Source: Alexandria, functional PBEsol.

Cell: 4.8543 4.8543 4.8543 Å, 90.00 90.00 90.00°
Last column: nearest neighbours and their distance in Å.
Element x y z (fractional)
Mg 0.0000 0.0000 0.0000  6 Cr 2.43
Cr 0.0000 0.0000 0.5000  2 Mg 2.43
Cr 0.0000 0.5000 0.0000  2 Mg 2.43
Cr 0.5000 0.0000 0.0000  2 Mg 2.43
S 0.5000 0.5000 0.5000  12 Cr 3.43

Properties
Energy relative to the elements, uncorrected ... 1.933 eV/atom
ρ ... 3.08 g cm⁻³



(3)
A relaxed structure of Mg2Sc3CrS8. Source: Alexandria, functional PBEsol.

Cell: 7.3754 7.3754 7.3754 Å, 60.32 60.32 60.32°
Last column: nearest neighbours and their distance in Å.
Element x y z (fractional)
Mg 0.1252 0.1252 0.1252  4 S 2.40-2.44
Mg 0.8748 0.8748 0.8748  4 S 2.40-2.44
Sc 0.0000 0.5000 0.5000  6 S 2.53-2.57
Sc 0.5000 0.0000 0.5000  6 S 2.53-2.57
Sc 0.5000 0.5000 0.0000  6 S 2.53-2.57
Cr 0.5000 0.5000 0.5000  6 S 2.43
S 0.2582 0.2582 0.2582  1 Mg 2.40, 3 Sc 2.53
S 0.2679 0.2679 0.7214  1 Cr 2.43, 1 Mg 2.44, 2 Sc 2.57
S 0.2679 0.7214 0.2679  1 Cr 2.43, 1 Mg 2.44, 2 Sc 2.57
S 0.2786 0.7321 0.7321  1 Cr 2.43, 1 Mg 2.44, 2 Sc 2.57
S 0.7214 0.2679 0.2679  1 Cr 2.43, 1 Mg 2.44, 2 Sc 2.57
S 0.7321 0.2786 0.7321  1 Cr 2.43, 1 Mg 2.44, 2 Sc 2.57
S 0.7321 0.7321 0.2786  1 Cr 2.43, 1 Mg 2.44, 2 Sc 2.57
S 0.7418 0.7418 0.7418  1 Mg 2.40, 3 Sc 2.53

Properties
Energy relative to the elements, uncorrected ... -1.557 eV/atom
ρ ... 2.86 g cm⁻³



(4)
A relaxed structure of Mg2Ti3CrS8. Source: Alexandria, functional PBEsol.

Cell: 7.3026 7.3026 7.3026 Å, 58.38 58.38 58.38°
Last column: nearest neighbours and their distance in Å.
Element x y z (fractional)
Mg 0.1262 0.1262 0.1262  4 S 2.40
Mg 0.8738 0.8738 0.8738  4 S 2.40
Ti 0.0000 0.5000 0.5000  6 S 2.46
Ti 0.5000 0.0000 0.5000  6 S 2.46
Ti 0.5000 0.5000 0.0000  6 S 2.46
Cr 0.5000 0.5000 0.5000  6 S 2.42
S 0.2589 0.2589 0.2589  1 Mg 2.40, 3 Ti 2.46
S 0.2640 0.2640 0.7160  1 Mg 2.40, 1 Cr 2.42, 2 Ti 2.46
S 0.2640 0.7160 0.2640  1 Mg 2.40, 1 Cr 2.42, 2 Ti 2.46
S 0.2840 0.7360 0.7360  1 Mg 2.40, 1 Cr 2.42, 2 Ti 2.46
S 0.7160 0.2640 0.2640  1 Mg 2.40, 1 Cr 2.42, 2 Ti 2.46
S 0.7360 0.2840 0.7360  1 Mg 2.40, 1 Cr 2.42, 2 Ti 2.46
S 0.7360 0.7360 0.2840  1 Mg 2.40, 1 Cr 2.42, 2 Ti 2.46
S 0.7411 0.7411 0.7411  1 Mg 2.40, 3 Ti 2.46

Properties
Energy relative to the elements, uncorrected ... -1.234 eV/atom
ρ ... 3.14 g cm⁻³



(5)
A relaxed structure of Mg2TiCr3S8. Source: Alexandria, functional PBEsol.

Cell: 7.1193 7.1193 7.1193 Å, 60.65 60.65 60.65°
Last column: nearest neighbours and their distance in Å.
Element x y z (fractional)
Mg 0.1243 0.1243 0.1243  4 S 2.41-2.42
Mg 0.8757 0.8757 0.8757  4 S 2.41-2.42
Ti 0.5000 0.5000 0.5000  6 S 2.44
Cr 0.0000 0.5000 0.5000  6 S 2.39-2.40
Cr 0.5000 0.0000 0.5000  6 S 2.39-2.40
Cr 0.5000 0.5000 0.0000  6 S 2.39-2.40
S 0.2590 0.2590 0.7126  2 Cr 2.39, 1 Mg 2.41, 1 Ti 2.44
S 0.2590 0.7126 0.2590  2 Cr 2.39, 1 Mg 2.41, 1 Ti 2.44
S 0.2637 0.2637 0.2637  3 Cr 2.40, 1 Mg 2.42
S 0.2874 0.7410 0.7410  2 Cr 2.39, 1 Mg 2.41, 1 Ti 2.44
S 0.7126 0.2590 0.2590  2 Cr 2.39, 1 Mg 2.41, 1 Ti 2.44
S 0.7363 0.7363 0.7363  3 Cr 2.40, 1 Mg 2.42
S 0.7410 0.2874 0.7410  2 Cr 2.39, 1 Mg 2.41, 1 Ti 2.44
S 0.7410 0.7410 0.2874  2 Cr 2.39, 1 Mg 2.41, 1 Ti 2.44

Properties
Energy relative to the elements, uncorrected ... -0.994 eV/atom
ρ ... 3.26 g cm⁻³



(6)
A relaxed structure of Mg2VCr3S8. Source: Alexandria, functional PBEsol.

Cell: 7.1291 7.1291 7.1291 Å, 60.14 60.14 60.14°
Last column: nearest neighbours and their distance in Å.
Element x y z (fractional)
Mg 0.1244 0.1244 0.1244  4 S 2.42-2.43
Mg 0.8756 0.8756 0.8756  4 S 2.42-2.43
V 0.5000 0.5000 0.5000  6 S 2.41
Cr 0.0000 0.5000 0.5000  6 S 2.39
Cr 0.5000 0.0000 0.5000  6 S 2.39
Cr 0.5000 0.5000 0.0000  6 S 2.39
S 0.2624 0.2624 0.7099  2 Cr 2.39, 1 V 2.41, 1 Mg 2.42
S 0.2624 0.7099 0.2624  2 Cr 2.39, 1 V 2.41, 1 Mg 2.42
S 0.2636 0.2636 0.2636  3 Cr 2.39, 1 Mg 2.43
S 0.2901 0.7376 0.7376  2 Cr 2.39, 1 V 2.41, 1 Mg 2.42
S 0.7099 0.2624 0.2624  2 Cr 2.39, 1 V 2.41, 1 Mg 2.42
S 0.7364 0.7364 0.7364  3 Cr 2.39, 1 Mg 2.43
S 0.7376 0.2901 0.7376  2 Cr 2.39, 1 V 2.41, 1 Mg 2.42
S 0.7376 0.7376 0.2901  2 Cr 2.39, 1 V 2.41, 1 Mg 2.42

Properties
Energy relative to the elements, uncorrected ... -0.913 eV/atom
ρ ... 3.31 g cm⁻³



(7)
A relaxed structure of Mg2V3CrS8. Source: Alexandria, functional PBEsol.

Cell: 7.2065 7.2065 7.2065 Å, 58.97 58.97 58.97°
Last column: nearest neighbours and their distance in Å.
Element x y z (fractional)
Mg 0.1262 0.1262 0.1262  4 S 2.40-2.41
Mg 0.8738 0.8738 0.8738  4 S 2.40-2.41
V 0.0000 0.5000 0.5000  6 S 2.41-2.42
V 0.5000 0.0000 0.5000  6 S 2.41-2.42
V 0.5000 0.5000 0.0000  6 S 2.41-2.42
Cr 0.5000 0.5000 0.5000  6 S 2.39
S 0.2619 0.2619 0.2619  3 V 2.41, 1 Mg 2.41
S 0.2642 0.2642 0.7125  1 Cr 2.39, 1 Mg 2.40, 2 V 2.42
S 0.2642 0.7125 0.2642  1 Cr 2.39, 1 Mg 2.40, 2 V 2.42
S 0.2875 0.7358 0.7358  1 Cr 2.39, 1 Mg 2.40, 2 V 2.42
S 0.7125 0.2642 0.2642  1 Cr 2.39, 1 Mg 2.40, 2 V 2.42
S 0.7358 0.2875 0.7358  1 Cr 2.39, 1 Mg 2.40, 2 V 2.42
S 0.7358 0.7358 0.2875  1 Cr 2.39, 1 Mg 2.40, 2 V 2.42
S 0.7381 0.7381 0.7381  3 V 2.41, 1 Mg 2.41

Properties
Energy relative to the elements, uncorrected ... -0.965 eV/atom
ρ ... 3.28 g cm⁻³



(8)
A relaxed structure of YMg2Cr3S8. Source: Alexandria, functional PBEsol.

Cell: 7.3297 7.3297 7.3297 Å, 59.25 59.25 59.25°
Last column: nearest neighbours and their distance in Å.
Element x y z (fractional)
Y 0.0000 0.0000 0.0000  6 S 2.65-2.66
Mg 0.3746 0.3746 0.3746  4 S 2.42-2.51
Mg 0.6254 0.6254 0.6254  4 S 2.42-2.51
Cr 0.0000 0.0000 0.5000  6 S 2.40-2.44
Cr 0.0000 0.5000 0.0000  6 S 2.40-2.44
Cr 0.5000 0.0000 0.0000  6 S 2.40-2.44
S 0.2196 0.7441 0.7441  2 Cr 2.40, 1 Mg 2.42, 1 Y 2.66
S 0.2358 0.2358 0.2358  3 Cr 2.44, 1 Mg 2.51
S 0.2559 0.2559 0.7804  2 Cr 2.40, 1 Mg 2.42, 1 Y 2.66
S 0.2559 0.7804 0.2559  2 Cr 2.40, 1 Mg 2.42, 1 Y 2.65
S 0.7441 0.2196 0.7441  2 Cr 2.40, 1 Mg 2.42, 1 Y 2.65
S 0.7441 0.7441 0.2196  2 Cr 2.40, 1 Mg 2.42, 1 Y 2.65
S 0.7642 0.7642 0.7642  3 Cr 2.44, 1 Mg 2.51
S 0.7804 0.2559 0.2559  2 Cr 2.40, 1 Mg 2.42, 1 Y 2.65

Properties
Energy relative to the elements, uncorrected ... -1.101 eV/atom
ρ ... 3.34 g cm⁻³



(9)
A relaxed structure of YMgCrS4. Source: Alexandria, functional PBEsol.

Cell: 7.4630 7.4630 7.4630 Å, 120.75 119.18 90.07°
Last column: nearest neighbours and their distance in Å.
Element x y z (fractional)
Y 0.0000 0.0000 0.0000  6 S 2.65-2.70
Y 0.5000 0.0000 0.5000  6 S 2.65-2.70
Mg 0.3751 0.6251 0.7500  4 S 2.41-2.51
Mg 0.6249 0.3749 0.2500  4 S 2.41-2.51
Cr 0.0000 0.0000 0.5000  6 S 2.40-2.45
Cr 0.0000 0.5000 0.0000  6 S 2.40-2.45
S 0.2089 0.7451 0.4639  2 Cr 2.45, 1 Mg 2.51, 1 Y 2.70
S 0.2188 0.2549 0.9639  2 Cr 2.45, 1 Mg 2.51, 1 Y 2.70
S 0.2278 0.2284 0.5006  1 Cr 2.40, 1 Mg 2.41, 2 Y 2.65
S 0.2278 0.7272 0.9994  1 Cr 2.40, 1 Mg 2.41, 2 Y 2.65
S 0.7722 0.2728 0.0006  1 Cr 2.40, 1 Mg 2.41, 2 Y 2.65
S 0.7722 0.7716 0.4994  1 Cr 2.40, 1 Mg 2.41, 2 Y 2.65
S 0.7812 0.7451 0.0361  2 Cr 2.45, 1 Mg 2.51, 1 Y 2.70
S 0.7911 0.2549 0.5361  2 Cr 2.45, 1 Mg 2.51, 1 Y 2.70

Properties
Energy relative to the elements, uncorrected ... -1.337 eV/atom
ρ ... 3.32 g cm⁻³



(10)
A relaxed structure of MgCrSb2. Source: Alexandria, functional PBEsol.

Cell: 4.2172 5.1259 7.9810 Å, 90.00 90.00 90.00°
Last column: nearest neighbours and their distance in Å.
Element x y z (fractional)
Mg 0.0000 0.0000 0.0000  8 Sb 3.00-3.17, 4 Cr 3.32
Mg 0.5000 0.5000 0.5000  8 Sb 3.00-3.17, 4 Cr 3.32
Cr 0.0000 0.0000 0.5000  4 Sb 2.81
Cr 0.5000 0.5000 0.0000  4 Sb 2.81
Sb 0.0000 0.5000 0.2329  2 Cr 2.81, 2 Mg 3.00
Sb 0.0000 0.5000 0.7671  2 Cr 2.81, 2 Mg 3.00
Sb 0.5000 0.0000 0.2671  2 Cr 2.81, 2 Mg 3.00
Sb 0.5000 0.0000 0.7329  2 Cr 2.81, 2 Mg 3.00

Properties
Energy relative to the elements, uncorrected ... 0.186 eV/atom
ρ ... 6.16 g cm⁻³



(11)
A relaxed structure of MgCrSb2. Source: Alexandria, functional PBEsol.

Cell: 7.1123 7.1123 7.1123 Å, 90.00 90.00 90.00°
Last column: nearest neighbours and their distance in Å.
Element x y z (fractional)
Mg 0.0000 0.0000 0.0000  4 Sb 3.08, 4 Cr 3.08
Mg 0.0000 0.5000 0.5000  4 Sb 3.08, 4 Cr 3.08
Mg 0.5000 0.0000 0.5000  4 Sb 3.08, 4 Cr 3.08
Mg 0.5000 0.5000 0.0000  4 Sb 3.08, 4 Cr 3.08
Cr 0.2500 0.2500 0.7500  4 Sb 3.08, 4 Mg 3.08
Cr 0.2500 0.7500 0.2500  4 Sb 3.08, 4 Mg 3.08
Cr 0.7500 0.2500 0.2500  4 Sb 3.08, 4 Mg 3.08
Cr 0.7500 0.7500 0.7500  4 Mg 3.08, 4 Sb 3.08
Sb 0.0000 0.0000 0.5000  4 Cr 3.08, 4 Sb 3.08
Sb 0.0000 0.5000 0.0000  4 Cr 3.08, 4 Sb 3.08
Sb 0.2500 0.2500 0.2500  4 Sb 3.08, 4 Mg 3.08
Sb 0.2500 0.7500 0.7500  4 Sb 3.08, 4 Mg 3.08
Sb 0.5000 0.0000 0.0000  4 Cr 3.08, 4 Sb 3.08
Sb 0.5000 0.5000 0.5000  4 Cr 3.08, 4 Sb 3.08
Sb 0.7500 0.2500 0.7500  4 Sb 3.08, 4 Mg 3.08
Sb 0.7500 0.7500 0.2500  4 Sb 3.08, 4 Mg 3.08

Properties
Energy relative to the elements, uncorrected ... 0.428 eV/atom
ρ ... 5.90 g cm⁻³



(12)
A relaxed structure of MgCr2Sb. Source: Alexandria, functional PBEsol.

Cell: 3.2818 3.2818 5.9943 Å, 90.00 90.00 90.00°
Last column: nearest neighbours and their distance in Å.
Element x y z (fractional)
Mg 0.0000 0.0000 0.0000  8 Cr 2.81, 2 Sb 3.00
Cr 0.5000 0.5000 0.2651  4 Sb 2.71, 4 Mg 2.81, 1 Cr 2.82
Cr 0.5000 0.5000 0.7349  4 Sb 2.71, 4 Mg 2.81, 1 Cr 2.82
Sb 0.0000 0.0000 0.5000  8 Cr 2.71, 2 Mg 3.00

Properties
Energy relative to the elements, uncorrected ... 0.451 eV/atom
ρ ... 6.43 g cm⁻³